# SiAsIr2

SiAsIr2 after structural relaxation (GGA-PBE, the Alexandria database).

Summary:
The energy above the lowest structure with this stoichiometry comes out at 285 meV per atom. The calculation puts the size of the total moment at 0.00 μB per formula unit. The calculation puts the raw formation energy at 0.051 eV per atom. The volume comes out at 15.372 Å³/atom. The total energy is -27.59 eV/f.u.

Structure (CIF):
```
data_SiAsIr2
_chemical_formula_sum 'Si2 As2 Ir4'
_cell_length_a 2.854
_cell_length_b 4.968
_cell_length_c 8.672
_cell_angle_alpha 90.00
_cell_angle_beta 90.00
_cell_angle_gamma 90.00
_symmetry_space_group_name_H-M 'P 1'
_symmetry_Int_Tables_number 1
loop_
_symmetry_equiv_pos_as_xyz
'x,y,z'
loop_
_atom_site_label
_atom_site_type_symbol
_atom_site_fract_x
_atom_site_fract_y
_atom_site_fract_z
Si1 Si 0.000 0.000 0.000
Si2 Si 0.500 0.500 0.000
As1 As 0.000 0.000 0.500
As2 As 0.500 0.500 0.500
Ir1 Ir 0.000 0.500 0.217
Ir2 Ir 0.000 0.500 0.783
Ir3 Ir 0.500 0.000 0.217
Ir4 Ir 0.500 0.000 0.783
```


# SiAsIr

SiAsIr after structural relaxation (GGA-PBE, the Alexandria database).

Summary:
The energy above the lowest structure with this stoichiometry comes out at 257 meV per atom. The calculation puts the size of the total moment at 0.00 μB per formula unit. The calculation puts the raw formation energy at -0.128 eV per atom. The volume comes out at 16.258 Å³/atom. The total energy is -19.32 eV/f.u.

Structure (CIF):
```
data_SiAsIr
_chemical_formula_sum 'Si2 As2 Ir2'
_cell_length_a 2.874
_cell_length_b 2.941
_cell_length_c 11.541
_cell_angle_alpha 90.00
_cell_angle_beta 90.00
_cell_angle_gamma 90.00
_symmetry_space_group_name_H-M 'P 1'
_symmetry_Int_Tables_number 1
loop_
_symmetry_equiv_pos_as_xyz
'x,y,z'
loop_
_atom_site_label
_atom_site_type_symbol
_atom_site_fract_x
_atom_site_fract_y
_atom_site_fract_z
Si1 Si 0.000 0.000 0.000
Si2 Si 0.500 0.500 0.500
As1 As 0.000 0.500 0.807
As2 As 0.500 0.000 0.307
Ir1 Ir 0.000 0.000 0.616
Ir2 Ir 0.500 0.500 0.116
```


# SiAs2Ir

SiAs2Ir after structural relaxation (GGA-PBE, the Alexandria database).

Summary:
The calculation puts the size of the total moment at 0.00 μB per formula unit. The calculation puts the raw formation energy at 0.320 eV per atom. The volume comes out at 16.832 Å³/atom. The total energy is -22.30 eV/f.u.

Structure (CIF):
```
data_SiAs2Ir
_chemical_formula_sum 'Si1 As2 Ir1'
_cell_length_a 3.023
_cell_length_b 3.023
_cell_length_c 7.370
_cell_angle_alpha 90.00
_cell_angle_beta 90.00
_cell_angle_gamma 90.00
_symmetry_space_group_name_H-M 'P 1'
_symmetry_Int_Tables_number 1
loop_
_symmetry_equiv_pos_as_xyz
'x,y,z'
loop_
_atom_site_label
_atom_site_type_symbol
_atom_site_fract_x
_atom_site_fract_y
_atom_site_fract_z
Si1 Si 0.000 0.000 0.000
As1 As 0.500 0.500 0.277
As2 As 0.500 0.500 0.723
Ir1 Ir 0.000 0.000 0.500
```